Co2SiRhO6 (PBE+U, optimized geometry); SG = R3, No. 146; volume = 95 Å³/f.u.; total DFT energy (no corrections) = -6.618 eV/atom
1.0
-2.706 3.876 1.230
-3.461 -0.424 3.420
0.998 2.258 4.778
Co Rh O Si
2 1 6 1
Cartesian
0.915 2.228 4.690
-2.826 2.768 4.458
-4.481 4.064 6.432
-1.515 4.448 4.993
-2.738 3.021 6.640
-3.689 0.959 4.656
-4.414 3.996 4.300
-2.123 2.715 2.572
-0.910 2.037 5.248
-1.963 1.184 1.648